Pm2Dy2Ho5 PBE optimized geometry; magnetic moment = 0.0 μB per formula unit; electronic total energy = -41.55 eV/cell; crystal system = triclinic; ΔE to the lowest computed polymorph = 0.0 meV/atom; energy of formation from the pure elements = 0.005 eV per atom
1.0
3.593 0.000 0.000
0.000 8.833 0.000
1.785 2.171 9.041
Pm Dy Ho
2 2 5
Cartesian
0.894 3.635 2.844
4.485 7.370 6.198
0.895 9.192 1.504
4.483 1.813 7.537
0.901 5.938 0.171
2.685 4.339 5.881
2.689 1.086 4.521
2.693 6.665 3.161
4.478 5.067 8.870

---

Pm6Dy2Ho5 PBE optimized geometry; magnetic moment = 0.0 μB per formula unit; electronic total energy = -118.57 eV/cell; crystal system = orthorhombic; energy of formation from the pure elements = 0.101 eV per atom
1.0
11.686 0.000 0.000
0.000 20.453 0.000
0.000 0.000 3.611
Pm Dy Ho
12 4 10
Cartesian
0.701 1.633 0.000
0.966 7.507 0.000
2.025 12.966 1.806
3.818 2.739 1.806
4.877 17.734 0.000
5.142 11.860 0.000
6.543 8.593 0.000
6.809 2.719 0.000
7.868 17.714 1.806
9.661 7.488 1.806
10.720 12.946 0.000
10.985 18.820 0.000
1.940 16.139 0.000
3.903 5.913 0.000
7.783 14.541 0.000
9.746 4.314 0.000
0.000 10.227 1.806
1.082 4.620 1.806
2.318 19.333 1.806
3.525 9.107 1.806
4.761 14.847 1.806
5.843 0.000 1.806
6.925 5.606 1.806
8.161 11.347 1.806
9.368 1.120 1.806
10.604 15.833 1.806